(1)
This record from the Alexandria database describes an optimized crystal structure of MnZnGeRh. The functional is GGA-PBE.

Cell: 4.311 4.311 4.311 Å, 60.00 60.00 60.00°
Site moments in Bohr magnetons follow the coordinates.
Atoms (fractional coordinates):
1 Mn 0.000 0.000 0.000  3.35
2 Rh 0.500 0.500 0.500  0.21
3 Zn 0.750 0.750 0.750  -0.01
4 Ge 0.250 0.250 0.250  -0.06

* formation enthalpy at 0 K: -0.20 eV/atom
* crystal system: cubic



(2)
This record from the Alexandria database describes an optimized crystal structure of ScI2NO. The functional is GGA-PBE.

Cell: 5.765 5.765 4.177 Å, 90.00 90.00 90.00°
Site moments in Bohr magnetons follow the coordinates.
Atoms (fractional coordinates):
1 O 0.500 0.500 0.500  1.41
2 I 0.000 0.500 0.000  0.29
3 Sc 0.000 0.000 0.000  -0.03
4 I 0.500 0.000 0.000  0.29
5 N 0.000 0.000 0.500  0.96

* ΔE to the lowest computed polymorph: 2.493 eV per formula unit
* crystal system: tetragonal



(3)
This record from the Alexandria database describes an optimized crystal structure of Mg4Re3. The functional is GGA-PBE.

Cell: 13.311 13.311 13.311 Å, 166.82 166.82 18.69°
Site moments in Bohr magnetons follow the coordinates.
Atoms (fractional coordinates):
1 Mg 0.568 0.568 0.000  0.00
2 Mg 0.846 0.846 0.000  0.00
3 Mg 0.154 0.154 0.000  0.00
4 Re 0.723 0.723 0.000  -0.01
5 Re 0.277 0.277 0.000  -0.01
6 Re 0.000 0.000 0.000  0.77
7 Mg 0.432 0.432 0.000  0.00

* ΔE to the lowest computed polymorph: 0.085 eV per formula unit
* formation enthalpy at 0 K: 0.25 eV/atom
* crystal system: tetragonal



(4)
This record from the Alexandria database describes an optimized crystal structure of DyY2Er. The functional is GGA-PBE.

Cell: 3.548 3.548 10.040 Å, 90.00 90.00 90.00°
Atoms (fractional coordinates):
1 Er 0.500 0.500 0.000
2 Y 0.000 0.000 0.751
3 Dy 0.500 0.500 0.500
4 Y 0.000 0.000 0.249

* ΔE to the lowest computed polymorph: 0.088 eV per formula unit
* formation enthalpy at 0 K: 0.02 eV/atom
* crystal system: tetragonal



(5)
This record from the Alexandria database describes an optimized crystal structure of MgCuPt2. The functional is GGA-PBE.

Cell: 5.804 5.804 5.804 Å, 142.74 142.74 53.71°
Atoms (fractional coordinates):
1 Pt 0.269 0.269 0.000
2 Cu 0.500 0.500 0.000
3 Mg 0.000 0.000 0.000
4 Pt 0.731 0.731 0.000

* formation enthalpy at 0 K: 0.11 eV/atom
* crystal system: tetragonal



(6)
This record from the Alexandria database describes an optimized crystal structure of NbVPd14. The functional is GGA-PBE.

Cell: 5.596 5.596 7.816 Å, 90.00 90.00 90.00°
Site moments in Bohr magnetons follow the coordinates.
Atoms (fractional coordinates):
1 Pd 0.375 0.375 0.000  0.02
2 Pd 0.127 0.127 0.741  -0.01
3 Pd 0.623 0.623 0.741  -0.01
4 Pd 0.623 0.127 0.259  -0.01
5 Nb 0.875 0.875 0.500  -0.03
6 Pd 0.875 0.375 0.500  -0.01
7 Pd 0.623 0.127 0.741  -0.01
8 V 0.375 0.375 0.500  0.47
9 Pd 0.127 0.623 0.741  -0.01
10 Pd 0.875 0.375 0.000  -0.02
11 Pd 0.623 0.623 0.259  -0.01
12 Pd 0.375 0.875 0.000  -0.02
13 Pd 0.127 0.127 0.259  -0.01
14 Pd 0.127 0.623 0.259  -0.01
15 Pd 0.375 0.875 0.500  -0.01
16 Pd 0.875 0.875 0.000  -0.03

* formation enthalpy at 0 K: -0.21 eV/atom
* crystal system: tetragonal



(7)
This record from the Alexandria database describes an optimized crystal structure of CsZnInF4. The functional is GGA-PBE.

Cell: 6.236 6.288 8.945 Å, 90.00 116.75 90.00°
Atoms (fractional coordinates):
1 In 0.104 0.250 0.436
2 Zn 0.723 0.250 0.700
3 Zn 0.277 0.750 0.300
4 F 0.061 0.504 0.228
5 F 0.448 0.750 0.168
6 Cs 0.657 0.750 0.928
7 F 0.939 0.004 0.772
8 F 0.061 0.996 0.228
9 F 0.501 0.750 0.536
10 F 0.939 0.496 0.772
11 F 0.499 0.250 0.464
12 In 0.896 0.750 0.564
13 F 0.552 0.250 0.832
14 Cs 0.343 0.250 0.072

* total DFT energy (no corrections): -4.03 eV/atom
* crystal system: monoclinic



(8)
This record from the Alexandria database describes an optimized crystal structure of Ac2PrPt. The functional is GGA-PBE.

Cell: 3.849 3.849 9.259 Å, 90.00 90.00 90.00°
Atoms (fractional coordinates):
1 Ac 0.000 0.000 0.193
2 Pt 0.500 0.500 0.000
3 Ac 0.000 0.000 0.807
4 Pr 0.500 0.500 0.500

* ΔE to the lowest computed polymorph: 0.513 eV per formula unit
* formation enthalpy at 0 K: -0.47 eV/atom
* crystal system: tetragonal